No. 1
The following is a PBEsol calculation of a geometry-optimized NiSnN3 structure, from Alexandria via LeMat-Bulk.

Lattice parameters (Å, degrees): 4.096 4.096 4.096 90.00 90.00 90.00
Atoms (fractional coordinates):
Ni1 0.000 0.000 0.000
Sn1 0.500 0.500 0.500
N1 0.000 0.500 0.500
N2 0.500 0.000 0.500
N3 0.500 0.500 0.000

As for the space group: Pm-3m, No. 221. The value obtained for the total energy is -25.759 eV per cell. Its calculated volume is 68.72 Å³ per cell. As for the density of states at the Fermi level: 7.07 states/eV/f.u.

No. 2
The following is a PBEsol calculation of a geometry-optimized Cd2OsRu structure, from Alexandria via LeMat-Bulk.

Lattice parameters (Å, degrees): 9.433 2.801 4.896 90.00 99.74 90.00
Atoms (fractional coordinates):
Cd1 0.249 0.000 0.248
Cd2 0.251 0.500 0.752
Cd3 0.749 0.500 0.248
Cd4 0.751 0.000 0.752
Os1 0.000 0.000 0.500
Os2 0.500 0.500 0.500
Ru1 0.000 0.500 0.000
Ru2 0.500 0.000 0.000

As for the space group: C2/m, No. 12. The value obtained for the total energy is -45.011 eV per cell. Its calculated volume is 127.48 Å³ per cell. For the energy relative to the elements, the calculation gives 55 kJ per mole of atoms. As for the density of states at the Fermi level: 4.38 states/eV/f.u.

No. 3
The following is a PBEsol calculation of a geometry-optimized BaNaLi3 structure, from Alexandria via LeMat-Bulk.

Lattice parameters (Å, degrees): 5.591 5.591 5.591 90.00 90.00 90.00
Atoms (fractional coordinates):
Ba1 0.000 0.000 0.000
Na1 0.500 0.500 0.500
Li1 0.000 0.500 0.500
Li2 0.500 0.000 0.500
Li3 0.500 0.500 0.000

As for the space group: Pm-3m, No. 221. The value obtained for the total energy is -8.467 eV per cell. Its calculated volume is 174.77 Å³ per cell. For the energy relative to the elements, the calculation gives 19 kJ per mole of atoms. As for the density of states at the Fermi level: 3.60 states/eV/f.u.

No. 4
The following is a PBEsol calculation of a geometry-optimized LaCd2Ir structure, from Alexandria via LeMat-Bulk.

Lattice parameters (Å, degrees): 4.888 5.053 6.973 90.00 90.00 90.00
Atoms (fractional coordinates):
La1 0.000 0.000 0.000
La2 0.500 0.500 0.500
Cd1 0.000 0.000 0.504
Cd2 0.000 0.500 0.762
Cd3 0.500 0.000 0.262
Cd4 0.500 0.500 0.004
Ir1 0.000 0.500 0.234
Ir2 0.500 0.000 0.734

As for the space group: Imm2, No. 44. The value obtained for the total energy is -36.299 eV per cell. Its calculated volume is 172.22 Å³ per cell. For the energy relative to the elements, the calculation gives -14 kJ per mole of atoms. As for the density of states at the Fermi level: 2.52 states/eV/f.u.

No. 5
The following is a PBEsol calculation of a geometry-optimized GaGeIrSe2 structure, from Alexandria via LeMat-Bulk.

Lattice parameters (Å, degrees): 4.947 4.947 4.636 90.00 90.00 90.00
Atoms (fractional coordinates):
Ga1 0.000 0.000 0.000
Ge1 0.500 0.500 0.000
Ir1 0.000 0.000 0.500
Se1 0.000 0.500 0.500
Se2 0.500 0.000 0.500

As for the space group: P4/mmm, No. 123. The value obtained for the total energy is -23.617 eV per cell. Its calculated volume is 113.44 Å³ per cell. As for the density of states at the Fermi level: 4.46 states/eV/f.u.

No. 6
The following is a PBEsol calculation of a geometry-optimized B2PtS structure, from Alexandria via LeMat-Bulk.

Lattice parameters (Å, degrees): 4.823 4.823 8.291 90.00 90.00 90.00
Atoms (fractional coordinates):
B1 0.220 0.250 0.125
B2 0.250 0.720 0.375
B3 0.250 0.780 0.875
B4 0.280 0.250 0.625
B5 0.720 0.750 0.625
B6 0.750 0.220 0.875
B7 0.750 0.280 0.375
B8 0.780 0.750 0.125
Pt1 0.000 0.000 0.500
Pt2 0.000 0.500 0.750
Pt3 0.500 0.000 0.250
Pt4 0.500 0.500 0.000
S1 0.000 0.000 0.000
S2 0.000 0.500 0.250
S3 0.500 0.000 0.750
S4 0.500 0.500 0.500

As for the space group: I-42d, No. 122. The value obtained for the total energy is -101.186 eV per cell. Its calculated volume is 192.86 Å³ per cell. As for the density of states at the Fermi level: 0.47 states/eV/f.u.